1.
Material: Mn3AlTe
Method: DFT, PBE-GGA
State: relaxed

Geometry as POSCAR:
```
Mn3AlTe
1.0
4.896 0.000 0.000
0.000 4.896 0.000
0.000 0.000 4.896
Mn Al Te
3 1 1
Cartesian
0.000 0.000 2.448
2.448 0.000 0.000
0.000 2.448 0.000
2.448 2.448 2.448
0.000 0.000 0.000
```

Summary:
Density of states at the Fermi level   4.4 states/eV per cell
Final energy   -29.32 eV/cell
Formation energy from raw total energies   1.02 eV/atom


2.
Material: Mg2ScAs
Method: DFT, PBE-GGA
State: relaxed

Geometry as POSCAR:
```
Mg2ScAs
1.0
4.245 0.000 0.000
0.000 3.928 0.151
0.000 2.078 5.393
As Mg Sc
1 2 1
Cartesian
2.123 4.505 4.158
0.000 5.563 5.428
0.000 3.446 2.888
2.123 1.502 1.386
```

Summary:
Density of states at the Fermi level   2.8 states/eV per cell
Final energy   -15.25 eV/cell
DFT formation energy   -1.1 eV per formula unit